No. 1
Entry from Alexandria: a relaxed structure of KZrSe (PBE-GGA).

Results
As for the density of states at the Fermi level: 2.64 states/eV/f.u. For the total magnetization, the calculation gives 0.0 μB/f.u. The uncorrected formation energy comes out at -498 meV per atom.

The structure in CIF format:
```
data_KZrSe
_symmetry_space_group_name_H-M 'I 4 m m'
_symmetry_Int_Tables_number 107
_symmetry_space_group_name_Hall 'I 4 -2'
_cell_length_a 3.468
_cell_length_b 3.468
_cell_length_c 14.326
_cell_angle_alpha 90.00
_cell_angle_beta 90.00
_cell_angle_gamma 90.00
loop_
_atom_site_label
_atom_site_fract_x
_atom_site_fract_y
_atom_site_fract_z
K1 0.000 0.000 0.000
Zr1 0.000 0.000 0.267
Se1 0.000 0.000 0.677
```


No. 2
Entry from Alexandria: a relaxed structure of Na2SbPd2 (PBE-GGA).

Results
As for the density of states at the Fermi level: 2.30 states/eV/f.u. For the total magnetization, the calculation gives 0.0 μB/f.u. The uncorrected formation energy comes out at -308 meV per atom.

The structure in CIF format:
```
data_Na2SbPd2
_symmetry_space_group_name_H-M 'P 4/m b m'
_symmetry_Int_Tables_number 127
_symmetry_space_group_name_Hall '-P 4 2ab'
_cell_length_a 6.791
_cell_length_b 6.791
_cell_length_c 4.840
_cell_angle_alpha 90.00
_cell_angle_beta 90.00
_cell_angle_gamma 90.00
loop_
_atom_site_label
_atom_site_fract_x
_atom_site_fract_y
_atom_site_fract_z
Na1 0.169 0.331 0.000
Sb1 0.000 0.000 0.500
Pd1 0.143 0.643 0.500
```


No. 3
Entry from Alexandria: a relaxed structure of Na5Sr4Ag2 (PBE-GGA).

Results
As for the density of states at the Fermi level: 6.78 states/eV/f.u. For the total magnetization, the calculation gives 0.0 μB/f.u. Its energy relative to the elements is -0.08 eV per atom.

The structure in CIF format:
```
data_Na5Sr4Ag2
_symmetry_space_group_name_H-M 'P 1 2/m 1'
_symmetry_Int_Tables_number 10
_cell_length_a 9.109
_cell_length_b 4.241
_cell_length_c 11.242
_cell_angle_alpha 90.00
_cell_angle_beta 94.13
_cell_angle_gamma 90.00
loop_
_symmetry_equiv_pos_as_xyz
'x,y,z'
'-x,-y,-z'
'-x,y,-z'
'x,-y,z'
loop_
_atom_site_label
_atom_site_fract_x
_atom_site_fract_y
_atom_site_fract_z
Na1 0.000 0.000 0.000
Na2 0.050 0.000 0.321
Na3 0.312 0.000 0.849
Sr1 0.288 0.500 0.551
Sr2 0.342 0.500 0.159
Ag1 0.443 0.000 0.371
```


No. 4
Entry from Alexandria: a relaxed structure of InCoPb2 (PBE-GGA).

Results
As for the density of states at the Fermi level: 3.09 states/eV/f.u. For the total magnetization, the calculation gives 0.6 μB/f.u. Its energy relative to the elements is 0.29 eV per atom.

The structure in CIF format:
```
data_InCoPb2
_symmetry_space_group_name_H-M 'I m m 2'
_symmetry_Int_Tables_number 44
_cell_length_a 3.209
_cell_length_b 4.495
_cell_length_c 13.461
_cell_angle_alpha 90.00
_cell_angle_beta 90.00
_cell_angle_gamma 90.00
loop_
_symmetry_equiv_pos_as_xyz
'x,y,z'
'-x,-y,z'
'-x,y,z'
'x,-y,z'
'x+1/2,y+1/2,z+1/2'
'-x+1/2,-y+1/2,z+1/2'
'-x+1/2,y+1/2,z+1/2'
'x+1/2,-y+1/2,z+1/2'
loop_
_atom_site_label
_atom_site_fract_x
_atom_site_fract_y
_atom_site_fract_z
In1 0.000 0.000 0.000
Co1 0.000 0.500 0.328
Pb1 0.000 0.000 0.644
Pb2 0.000 0.500 0.826
```


No. 5
Entry from Alexandria: a relaxed structure of TlAu3 (PBE-GGA).

Results
As for the density of states at the Fermi level: 1.04 states/eV/f.u. For the total magnetization, the calculation gives 0.0 μB/f.u. Its energy relative to the elements is 0.09 eV per atom.

The structure in CIF format:
```
data_TlAu3
_symmetry_space_group_name_H-M 'C 1 2/m 1'
_symmetry_Int_Tables_number 12
_cell_length_a 10.171
_cell_length_b 3.245
_cell_length_c 5.042
_cell_angle_alpha 90.00
_cell_angle_beta 103.05
_cell_angle_gamma 90.00
loop_
_symmetry_equiv_pos_as_xyz
'x,y,z'
'-x,-y,-z'
'-x,y,-z'
'x,-y,z'
'x+1/2,y+1/2,z'
'-x+1/2,-y+1/2,-z'
'-x+1/2,y+1/2,-z'
'x+1/2,-y+1/2,z'
loop_
_atom_site_label
_atom_site_fract_x
_atom_site_fract_y
_atom_site_fract_z
Tl1 0.000 0.000 0.000
Au1 0.000 0.500 0.500
Au2 0.239 0.000 0.737
```


No. 6
Entry from Alexandria: a relaxed structure of Th2NbH (PBE-GGA).

Results
As for the density of states at the Fermi level: 3.82 states/eV/f.u. For the total magnetization, the calculation gives 0.0 μB/f.u. As for the total energy: -6.68 eV/atom.

The structure in CIF format:
```
data_Th2NbH
_symmetry_space_group_name_H-M 'R -3 m'
_symmetry_Int_Tables_number 166
_symmetry_space_group_name_Hall '-R 3 2"'
_cell_length_a 3.2930
_cell_length_b 3.2930
_cell_length_c 27.4868
_cell_angle_alpha 90.00
_cell_angle_beta 90.00
_cell_angle_gamma 120.00
loop_
_atom_site_label
_atom_site_fract_x
_atom_site_fract_y
_atom_site_fract_z
Th1 0.0000 0.0000 0.1062
Nb1 0.0000 0.0000 0.0000
H1 0.0000 0.0000 0.5000
```